# NbSb2TeO (GGA-PBE, optimized geometry)
data_NbSb2TeO
_chemical_formula_sum 'Nb1 Sb2 Te1 O1'
_cell_length_a 5.305
_cell_length_b 5.305
_cell_length_c 5.227
_cell_angle_alpha 90.00
_cell_angle_beta 90.00
_cell_angle_gamma 90.00
_symmetry_space_group_name_H-M 'P 4/m m m'
_symmetry_Int_Tables_number 123
_symmetry_space_group_name_Hall '-P 4 2'
loop_
_atom_site_label
_atom_site_type_symbol
_atom_site_fract_x
_atom_site_fract_y
_atom_site_fract_z
Nb1 Nb 0.000 0.000 0.000
Sb1 Sb 0.000 0.500 0.000
Te1 Te 0.000 0.000 0.500
O1 O 0.500 0.500 0.500
# **Crystal system**: tetragonal
# **N(E_F)**: 1.428 states/eV per atom
# **Relative energy among the computed polymorphs**: 467.0 meV per atom
# **Calculated total energy**: -4.62 eV/atom

# NbSb2TeO (GGA-PBE, optimized geometry)
data_NbSb2TeO
_chemical_formula_sum 'Nb1 Sb2 Te1 O1'
_cell_length_a 4.571
_cell_length_b 4.571
_cell_length_c 5.015
_cell_angle_alpha 90.00
_cell_angle_beta 90.00
_cell_angle_gamma 90.00
_symmetry_space_group_name_H-M 'P 4/m m m'
_symmetry_Int_Tables_number 123
_symmetry_space_group_name_Hall '-P 4 2'
loop_
_atom_site_label
_atom_site_type_symbol
_atom_site_fract_x
_atom_site_fract_y
_atom_site_fract_z
Nb1 Nb 0.000 0.000 0.000
Sb1 Sb 0.000 0.500 0.500
Te1 Te 0.500 0.500 0.000
O1 O 0.500 0.500 0.500
# **Crystal system**: tetragonal
# **N(E_F)**: 0.900 states/eV per atom
# **Relative energy among the computed polymorphs**: 0.0 meV per atom
# **Calculated total energy**: -5.09 eV/atom